(1)
Here is crystalline Y2TcCl at its relaxed geometry from Alexandria via LeMat-Bulk. Energies are from PBE-GGA. Values from VASP.

Properties
**Density**: 4.31 Mg/m³
**DOS at the Fermi energy**: 1.2 states/eV/f.u.
**E above lowest polymorph**: 715.5 meV/atom
**Energy relative to the elements, uncorrected**: -0.03 eV per atom
**Space group**: I-42d, No. 122
**Total energy**: -6.31 eV/atom

Geometry as Quantum ESPRESSO input:
```
&SYSTEM
  ibrav = 0, nat = 8, ntyp = 3
/
ATOMIC_SPECIES
Y 88.91 Y.upf
Tc 98.00 Tc.upf
Cl 35.45 Cl.upf
ATOMIC_POSITIONS crystal
Y 0.6631 0.1250 0.2500
Y 0.0869 0.6250 0.2500
Y 0.3750 0.3369 0.7500
Y 0.8750 0.9131 0.7500
Tc 0.0000 0.0000 0.0000
Tc 0.7500 0.2500 0.5000
Cl 0.5000 0.5000 0.0000
Cl 0.2500 0.7500 0.5000
CELL_PARAMETERS angstrom
-5.7575 -0.2062 2.0128
-2.0039 -0.2602 -5.7584
-3.5846 -6.6672 -1.6850
```

(2)
Here is crystalline YTcCl2 at its relaxed geometry from Alexandria via LeMat-Bulk. Energies are from PBE-GGA. Values from VASP.

Properties
**Density**: 4.43 Mg/m³
**E above lowest polymorph**: 0.0 meV/atom
**Energy relative to the elements, uncorrected**: -0.66 eV per atom
**Space group**: Pm, No. 6
**Total energy**: -5.79 eV/atom

Geometry as Quantum ESPRESSO input:
```
&SYSTEM
  ibrav = 0, nat = 4, ntyp = 3
/
ATOMIC_SPECIES
Y 88.91 Y.upf
Tc 98.00 Tc.upf
Cl 35.45 Cl.upf
ATOMIC_POSITIONS crystal
Y 0.5000 0.6999 0.7238
Tc 0.0000 0.2840 0.5562
Cl 0.0000 0.1080 0.9098
Cl 0.5000 0.4081 0.3101
CELL_PARAMETERS angstrom
-1.0078 2.9082 1.2544
-3.8716 -0.7567 -1.3560
-3.4456 -3.5065 5.3612
```

(3)
Here is crystalline YTcCl2 at its relaxed geometry from Alexandria via LeMat-Bulk. Energies are from PBE-GGA. Values from VASP.

Properties
**Density**: 4.84 Mg/m³
**DOS at the Fermi energy**: 2.3 states/eV/f.u.
**E above lowest polymorph**: 212.4 meV/atom
**Energy relative to the elements, uncorrected**: -0.45 eV per atom
**Space group**: Imm2, No. 44
**Total energy**: -5.58 eV/atom

Geometry as Quantum ESPRESSO input:
```
&SYSTEM
  ibrav = 0, nat = 4, ntyp = 3
/
ATOMIC_SPECIES
Y 88.91 Y.upf
Tc 98.00 Tc.upf
Cl 35.45 Cl.upf
ATOMIC_POSITIONS crystal
Y 0.3216 0.8216 0.5000
Tc 0.4857 0.4857 0.0000
Cl 0.9703 0.9703 0.0000
Cl 0.7224 0.2224 0.5000
CELL_PARAMETERS angstrom
-4.2920 -0.7155 -5.7512
-0.3196 -4.0243 -5.9759
0.5449 0.9566 7.1272
```

(4)
Here is crystalline YTc2Cl2 at its relaxed geometry from Alexandria via LeMat-Bulk. Energies are from PBE-GGA. Values from VASP.

Properties
**Density**: 6.06 Mg/m³
**DOS at the Fermi energy**: 3.3 states/eV/f.u.
**E above lowest polymorph**: 0.0 meV/atom
**Energy relative to the elements, uncorrected**: 0.25 eV per atom
**Space group**: P4/mbm, No. 127
**Total energy**: -5.93 eV/atom

Geometry as Quantum ESPRESSO input:
```
&SYSTEM
  ibrav = 0, nat = 10, ntyp = 3
/
ATOMIC_SPECIES
Y 88.91 Y.upf
Tc 98.00 Tc.upf
Cl 35.45 Cl.upf
ATOMIC_POSITIONS crystal
Y 0.0000 0.0000 0.0000
Y 0.5000 0.5000 0.0000
Tc 0.0991 0.5991 0.5000
Tc 0.5991 0.9009 0.5000
Tc 0.9009 0.4009 0.5000
Tc 0.4009 0.0991 0.5000
Cl 0.2740 0.7740 0.0000
Cl 0.7740 0.7260 0.0000
Cl 0.7260 0.2260 0.0000
Cl 0.2260 0.2740 0.0000
CELL_PARAMETERS angstrom
-0.7067 1.8318 7.4926
3.7912 -6.4699 1.9393
2.8198 1.6138 -0.1286
```

(5)
Here is crystalline ZnTcCl at its relaxed geometry from Alexandria via LeMat-Bulk. Energies are from PBE-GGA. Values from VASP.

Properties
**Density**: 6.69 Mg/m³
**DOS at the Fermi energy**: 2.6 states/eV/f.u.
**E above lowest polymorph**: 0.0 meV/atom
**Energy relative to the elements, uncorrected**: 0.20 eV per atom
**Space group**: P3m1, No. 156
**Total energy**: -4.30 eV/atom

Geometry as Quantum ESPRESSO input:
```
&SYSTEM
  ibrav = 0, nat = 3, ntyp = 3
/
ATOMIC_SPECIES
Cl 35.45 Cl.upf
Tc 98.00 Tc.upf
Zn 65.41 Zn.upf
ATOMIC_POSITIONS crystal
Cl 0.0000 0.0000 0.0419
Tc 0.3333 0.6667 0.3209
Zn 0.6667 0.3333 0.6372
CELL_PARAMETERS angstrom
-1.6531 -0.9067 2.3347
-0.8063 -0.7511 -2.7912
3.4757 -5.2706 0.4142
```

(6)
Here is crystalline Zn3TcCl at its relaxed geometry from Alexandria via LeMat-Bulk. Energies are from PBE-GGA. Values from VASP.

Properties
**Density**: 4.29 Mg/m³
**DOS at the Fermi energy**: 3.3 states/eV/f.u.
**E above lowest polymorph**: 0.0 meV/atom
**Energy relative to the elements, uncorrected**: 0.67 eV per atom
**Space group**: Pm-3m, No. 221
**Total energy**: -2.53 eV/atom

Geometry as Quantum ESPRESSO input:
```
&SYSTEM
  ibrav = 0, nat = 5, ntyp = 3
/
ATOMIC_SPECIES
Zn 65.41 Zn.upf
Tc 98.00 Tc.upf
Cl 35.45 Cl.upf
ATOMIC_POSITIONS crystal
Zn 0.0000 0.5000 0.0000
Zn 0.0000 0.0000 0.5000
Zn 0.5000 0.0000 0.0000
Tc 0.0000 0.0000 0.0000
Cl 0.5000 0.5000 0.5000
CELL_PARAMETERS angstrom
-3.1604 -1.2050 -3.7311
-0.7799 -4.5033 2.1150
-3.8425 1.9051 2.6395
```

(7)
Here is crystalline ZnTcCl4 at its relaxed geometry from Alexandria via LeMat-Bulk. Energies are from PBE-GGA. Values from VASP.

Properties
**Density**: 3.51 Mg/m³
**DOS at the Fermi energy**: 3.2 states/eV/f.u.
**Energy relative to the elements, uncorrected**: 0.95 eV per atom
**Space group**: F-43m, No. 216
**Total energy**: -2.22 eV/atom

Geometry as Quantum ESPRESSO input:
```
&SYSTEM
  ibrav = 0, nat = 6, ntyp = 3
/
ATOMIC_SPECIES
Zn 65.41 Zn.upf
Tc 98.00 Tc.upf
Cl 35.45 Cl.upf
ATOMIC_POSITIONS crystal
Zn 0.0000 0.0000 0.0000
Tc 0.7500 0.7500 0.7500
Cl 0.8744 0.3752 0.3752
Cl 0.3752 0.3752 0.8744
Cl 0.3752 0.8744 0.3752
Cl 0.3752 0.3752 0.3752
CELL_PARAMETERS angstrom
0.0000 4.1654 4.1654
4.1654 0.0000 4.1654
4.1654 4.1654 0.0000
```

(8)
Here is crystalline ZnTcCl at its relaxed geometry from Alexandria via LeMat-Bulk. Energies are from PBE-GGA. Values from VASP.

Properties
**Density**: 6.07 Mg/m³
**DOS at the Fermi energy**: 1.4 states/eV/f.u.
**E above lowest polymorph**: 111.5 meV/atom
**Energy relative to the elements, uncorrected**: 0.31 eV per atom
**Space group**: I4mm, No. 107
**Total energy**: -4.19 eV/atom

Geometry as Quantum ESPRESSO input:
```
&SYSTEM
  ibrav = 0, nat = 3, ntyp = 3
/
ATOMIC_SPECIES
Cl 35.45 Cl.upf
Tc 98.00 Tc.upf
Zn 65.41 Zn.upf
ATOMIC_POSITIONS crystal
Cl 0.9582 0.9582 0.0000
Tc 0.3356 0.3356 0.0000
Zn 0.7062 0.7062 0.0000
CELL_PARAMETERS angstrom
6.5259 0.0318 0.0000
5.1570 3.9992 0.0000
-5.8415 -2.0155 2.0985
```

(9)
Here is crystalline ZnTcCl at its relaxed geometry from Alexandria via LeMat-Bulk. Energies are from PBE-GGA. Values from VASP.

Properties
**Density**: 5.56 Mg/m³
**DOS at the Fermi energy**: 2.4 states/eV/f.u.
**E above lowest polymorph**: 628.7 meV/atom
**Energy relative to the elements, uncorrected**: 0.83 eV per atom
**Space group**: F-43m, No. 216
**Total energy**: -3.67 eV/atom

Geometry as Quantum ESPRESSO input:
```
&SYSTEM
  ibrav = 0, nat = 3, ntyp = 3
/
ATOMIC_SPECIES
Cl 35.45 Cl.upf
Tc 98.00 Tc.upf
Zn 65.41 Zn.upf
ATOMIC_POSITIONS crystal
Cl 0.5000 0.5000 0.5000
Tc 0.7500 0.7500 0.7500
Zn 0.0000 0.0000 0.0000
CELL_PARAMETERS angstrom
-4.1142 -0.1842 1.4859
-0.9166 -2.2680 3.6311
-1.0953 2.1063 3.6787
```

(10)
Here is crystalline Zn4Tc2Cl at its relaxed geometry from Alexandria via LeMat-Bulk. Energies are from PBE-GGA. Values from VASP.

Properties
**Density**: 5.34 Mg/m³
**DOS at the Fermi energy**: 6.1 states/eV/f.u.
**Energy relative to the elements, uncorrected**: 0.93 eV per atom
**Space group**: I4/mmm, No. 139
**Total energy**: -3.02 eV/atom

Geometry as Quantum ESPRESSO input:
```
&SYSTEM
  ibrav = 0, nat = 7, ntyp = 3
/
ATOMIC_SPECIES
Zn 65.41 Zn.upf
Tc 98.00 Tc.upf
Cl 35.45 Cl.upf
ATOMIC_POSITIONS crystal
Zn 0.7981 0.7981 0.4037
Zn 0.2019 0.2019 0.5963
Zn 0.0000 0.5000 0.0000
Zn 0.5000 0.0000 0.0000
Tc 0.5895 0.5895 0.8209
Tc 0.4105 0.4105 0.1791
Cl 0.0000 0.0000 0.0000
CELL_PARAMETERS angstrom
4.9225 0.0000 0.0000
0.0000 4.9225 0.0000
2.4613 2.4613 6.3287
```

(11)
Here is crystalline Zn3TcCl at its relaxed geometry from Alexandria via LeMat-Bulk. Energies are from PBE-GGA. Values from VASP.

Properties
**Density**: 5.72 Mg/m³
**DOS at the Fermi energy**: 0.5 states/eV/f.u.
**E above lowest polymorph**: 565.4 meV/atom
**Energy relative to the elements, uncorrected**: 1.24 eV per atom
**Space group**: Pm-3m, No. 221
**Total energy**: -1.97 eV/atom

Geometry as Quantum ESPRESSO input:
```
&SYSTEM
  ibrav = 0, nat = 5, ntyp = 3
/
ATOMIC_SPECIES
Zn 65.41 Zn.upf
Tc 98.00 Tc.upf
Cl 35.45 Cl.upf
ATOMIC_POSITIONS crystal
Zn 0.0000 0.5000 0.0000
Zn 0.0000 0.0000 0.5000
Zn 0.5000 0.0000 0.0000
Tc 0.5000 0.5000 0.5000
Cl 0.0000 0.0000 0.0000
CELL_PARAMETERS angstrom
-1.7237 3.6317 -2.1806
-4.2109 -1.7255 0.4548
-0.4616 2.1792 3.9942
```

(12)
Here is crystalline ZnTcCl at its relaxed geometry from Alexandria via LeMat-Bulk. Energies are from PBE-GGA. Values from VASP.

Properties
**Density**: 6.08 Mg/m³
**DOS at the Fermi energy**: 2.8 states/eV/f.u.
**E above lowest polymorph**: 874.0 meV/atom
**Energy relative to the elements, uncorrected**: 1.07 eV per atom
**Space group**: F-43m, No. 216
**Total energy**: -3.42 eV/atom

Geometry as Quantum ESPRESSO input:
```
&SYSTEM
  ibrav = 0, nat = 3, ntyp = 3
/
ATOMIC_SPECIES
Cl 35.45 Cl.upf
Tc 98.00 Tc.upf
Zn 65.41 Zn.upf
ATOMIC_POSITIONS crystal
Cl 0.7500 0.7500 0.7500
Tc 0.0000 0.0000 0.0000
Zn 0.5000 0.5000 0.5000
CELL_PARAMETERS angstrom
4.2510 0.0000 0.0000
2.1255 3.6815 0.0000
2.1255 1.2272 3.4710
```

Q: The lowest energy relative to the elements, uncorrected belongs to which entry?
A: number 2